The following is a PBE calculation of a relaxed In2Hg4Bi2Pb3 crystal, from Alexandria via LeMat-Bulk.

Cell and atoms, written as POSCAR:
```
In2Hg4Bi2Pb3
1.0
-4.446 -1.923 -2.231
4.534 -2.795 -0.254
-3.121 -6.105 11.483
Hg Pb In Bi
4 3 2 2
Cartesian
-1.267 -7.998 9.420
0.287 -4.957 3.700
-3.319 -5.866 5.298
-1.765 -2.825 -0.421
0.000 0.000 0.000
-0.850 -1.662 3.126
-2.271 -4.443 8.357
-0.402 -6.306 6.237
-2.630 -4.517 2.761
-4.085 -7.364 8.116
1.053 -3.458 0.882
```

***

The following is a PBE calculation of a relaxed InHg4BiPb crystal, from Alexandria via LeMat-Bulk.

Cell and atoms, written as POSCAR:
```
InHg4BiPb
1.0
-4.758 -7.272 0.845
-0.362 -7.713 -4.075
3.532 -7.588 3.838
Hg In Pb Bi
8 2 2 2
Cartesian
-3.832 -11.837 -0.204
0.109 -10.522 3.200
0.461 -7.328 1.070
-2.050 -15.245 -0.463
-1.698 -12.051 -2.593
-1.768 -6.282 -1.016
2.244 -10.737 0.812
0.180 -16.291 1.623
-4.175 -13.944 -2.479
2.587 -8.629 3.087
-1.174 -9.662 -0.182
-0.414 -12.911 0.789
2.336 -5.268 2.561
-3.924 -17.305 -1.953
```

***

PrInHgBi PBE optimized geometry; polymorph energy (0 for the lowest one) = 13.85 kJ/mol of atoms
1.0
-4.366 -2.589 2.150
-3.477 -2.736 -3.288
-0.152 -5.509 0.124
Hg Pr In Bi
1 1 1 1
Cartesian
0.000 0.000 0.000
-5.996 -8.126 -0.761
-1.999 -2.709 -0.254
-3.997 -5.417 -0.507

***

PrInHgBi PBE optimized geometry; polymorph energy (0 for the lowest one) = 0.00 kJ/mol of atoms
1.0
-0.526 2.257 4.064
0.477 -4.159 2.372
4.917 0.704 0.246
In Bi Pr Hg
1 1 1 1
Cartesian
2.697 -1.727 1.309
-0.024 -0.951 3.218
0.000 0.000 0.000
2.195 1.481 2.155

***

The following is a PBE calculation of a relaxed InHg2BiPt crystal, from Alexandria via LeMat-Bulk.

Cell and atoms, written as POSCAR:
```
InHg2BiPt
1.0
5.405 0.000 0.000
0.000 5.107 0.000
0.000 0.000 5.405
Hg In Bi Pt
2 1 1 1
Cartesian
0.000 0.000 2.703
2.703 0.000 0.000
0.000 0.000 0.000
2.703 2.554 2.703
0.000 2.554 0.000
```

***

The following is a PBE calculation of a relaxed PuInHg2Bi crystal, from Alexandria via LeMat-Bulk.

Cell and atoms, written as POSCAR:
```
PuInHg2Bi
1.0
5.992 0.000 0.000
0.000 5.957 0.000
0.000 -2.978 8.278
Bi Hg In Pu
2 4 2 2
Cartesian
1.498 0.000 4.190
4.494 2.978 4.088
2.996 1.492 0.000
0.000 4.465 0.000
0.000 1.492 0.000
2.996 4.465 0.000
1.498 2.978 5.895
4.494 0.000 2.383
4.494 0.000 5.639
1.498 2.978 2.639
```

***

The following is a PBE calculation of a relaxed RbIn2HgBi2 crystal, from Alexandria via LeMat-Bulk.

Cell and atoms, written as POSCAR:
```
RbIn2HgBi2
1.0
-4.657 -2.066 1.747
1.720 -1.076 -4.990
4.073 -6.763 2.862
In Rb Bi Hg
2 1 2 1
Cartesian
1.036 -3.800 -1.731
0.099 -6.104 1.350
0.000 0.000 0.000
2.542 -6.301 -0.673
-1.407 -3.603 0.292
2.037 -3.381 1.431
```

***

The following is a PBE calculation of a relaxed Rb2InHg6Bi crystal, from Alexandria via LeMat-Bulk.

Cell and atoms, written as POSCAR:
```
Rb2InHg6Bi
1.0
-5.603 -1.739 5.774
6.105 -4.496 4.570
2.553 8.626 5.076
Rb Hg In Bi
4 12 2 2
Cartesian
3.680 2.115 10.076
2.118 0.945 2.340
3.453 5.459 4.995
2.463 -1.998 7.655
-1.074 -4.039 7.405
2.494 -1.377 11.596
6.049 -0.274 7.932
-0.881 0.139 5.055
2.029 1.861 6.326
0.051 1.248 8.364
0.495 4.786 7.789
6.639 2.787 7.282
-3.517 -1.415 4.173
5.461 -1.192 4.940
-1.469 -0.779 2.063
2.551 -2.914 3.669
-0.877 2.966 5.910
5.457 -4.019 4.085
4.711 1.784 5.109
-0.131 -2.836 4.886
```

***

RbInHgBi PBE optimized geometry; polymorph energy (0 for the lowest one) = 2.29 kJ/mol of atoms
1.0
5.732 0.000 0.000
2.866 4.964 0.000
2.866 1.655 4.680
Bi Hg In Rb
1 1 1 1
Cartesian
5.732 3.309 2.340
2.866 1.655 1.170
8.598 4.964 3.510
0.000 0.000 0.000

***

RbInHgBi PBE optimized geometry; polymorph energy (0 for the lowest one) = 0.00 kJ/mol of atoms
1.0
4.852 0.000 0.000
-2.426 5.476 0.559
0.000 0.846 5.737
Rb In Bi Hg
1 1 1 1
Cartesian
2.426 1.056 2.307
0.000 2.920 4.573
2.426 4.934 5.413
0.000 3.436 1.620

***

The following is a PBE calculation of a relaxed Rb2InHgBi crystal, from Alexandria via LeMat-Bulk.

Cell and atoms, written as POSCAR:
```
Rb2InHgBi
1.0
-5.269 -0.323 -0.066
0.549 -8.916 -0.199
-0.274 2.698 8.587
In Hg Bi Rb
2 2 2 4
Cartesian
-1.186 -3.389 5.679
-3.807 -3.153 2.642
-3.916 -0.933 0.495
-1.077 -5.609 7.827
-1.065 -4.777 2.866
-3.928 -1.765 5.456
-3.591 -6.194 0.308
-3.644 -6.338 5.197
-1.349 -0.203 3.124
-1.402 -0.347 8.013
```

***

The following is a PBE calculation of a relaxed RbInHg3Bi crystal, from Alexandria via LeMat-Bulk.

Cell and atoms, written as POSCAR:
```
RbInHg3Bi
1.0
7.725 0.000 0.000
0.000 8.596 0.000
0.000 -4.298 6.846
In Rb Hg Bi
2 2 6 2
Cartesian
1.931 4.298 6.410
5.794 0.000 0.436
5.794 0.000 4.114
1.931 4.298 2.732
3.863 2.288 0.000
0.000 6.308 0.000
1.931 0.000 2.448
3.863 6.308 0.000
5.794 4.298 4.398
0.000 2.288 0.000
5.794 4.298 1.409
1.931 0.000 5.437
```

***

Number 1: N(E_F) 4.3 states/eV/f.u., total energy -2.28 eV per atom. Number 2: N(E_F) 3.0 states/eV/f.u., total energy -1.60 eV per atom. Number 3: N(E_F) 3.4 states/eV/f.u., total energy -3.25 eV per atom. Number 4: N(E_F) 2.1 states/eV/f.u., total energy -3.39 eV per atom. Number 5: N(E_F) 3.3 states/eV/f.u., total energy -2.12 eV per atom. Number 6: N(E_F) 13.9 states/eV/f.u., total energy -4.31 eV per atom. Number 7: N(E_F) 1.8 states/eV/f.u., total energy -2.57 eV per atom. Number 8: N(E_F) 2.6 states/eV/f.u., total energy -1.17 eV per atom. Number 9: N(E_F) 3.3 states/eV/f.u., total energy -2.07 eV per atom. Number 10: N(E_F) 1.2 states/eV/f.u., total energy -2.10 eV per atom. Number 11: N(E_F) 1.4 states/eV/f.u., total energy -2.06 eV per atom. Number 12: N(E_F) 1.7 states/eV/f.u., total energy -1.49 eV per atom.